KCr2Ir after structural relaxation. Source: Alexandria via LeMat-Bulk, functional PBEsol.

* energy above the most stable polymorph in this dataset: 0.0523 eV/atom
* formation energy from the elements: 0.72 eV per atom
* symmetry: No. 35
* V: 62 Å³/cell
* total magnetization: 0.0 μB/cell

abc: 2.7013 2.7013 9.4810
angles: 90.00 90.00 115.49
Closest atoms and distances in Å follow each position.
Atoms (fractional coordinates):
K  0.0000  0.0000  0.0000  6 K 2.70-2.88
Cr  0.0000  0.0000  0.5082  2 Cr 2.17
Cr  0.5000  0.5000  0.6789  2 Cr 2.17
Ir  0.5000  0.5000  0.2884  2 Cr 2.53, 4 Ir 2.70